Entry 1:
Density functional theory data (PBE) for crystalline NbGaFeMo at its relaxed geometry.

a b c (Å): 4.3858 4.3858 4.3858
angles (deg): 60.00 60.00 60.00
Last column: nearest neighbours and their distance in Å.
Fractional coordinates of all 4 atoms:
1 Fe 0.7500 0.7500 0.7500  4 Nb 2.69, 4 Ga 2.69
2 Nb 0.5000 0.5000 0.5000  4 Fe 2.69, 4 Mo 2.69
3 Ga 0.0000 0.0000 0.0000  4 Fe 2.69, 4 Mo 2.69
4 Mo 0.2500 0.2500 0.2500  4 Nb 2.69, 4 Ga 2.69

Calculated values
* SG: F-43m
* density: 8.8 Mg/m³
* relative energy among the computed polymorphs: 0 meV per atom
* M_tot: 1.92 μB per formula unit
* electronic total energy: -8.049 eV per atom

Entry 2:
Density functional theory data (PBE) for crystalline CsBaZrAu at its relaxed geometry.

a b c (Å): 5.5633 5.5633 5.5633
angles (deg): 60.00 60.00 60.00
Last column: nearest neighbours and their distance in Å.
Fractional coordinates of all 4 atoms:
1 Cs 0.2500 0.2500 0.2500  4 Ba 3.41, 4 Zr 3.41
2 Au 0.7500 0.7500 0.7500  4 Zr 3.41, 4 Ba 3.41
3 Ba 0.5000 0.5000 0.5000  4 Cs 3.41, 4 Au 3.41
4 Zr 0.0000 0.0000 0.0000  4 Au 3.41, 4 Cs 3.41

Calculated values
* SG: F-43m
* density: 7.6 Mg/m³
* relative energy among the computed polymorphs: 0 meV per atom
* M_tot: 0.43 μB per formula unit
* electronic total energy: -3.069 eV per atom

Entry 3:
Density functional theory data (PBE) for crystalline Y2ZnCdGa2 at its relaxed geometry.

a b c (Å): 8.0401 4.6191 15.3614
angles (deg): 90.00 99.69 90.00
Last column: nearest neighbours and their distance in Å.
Fractional coordinates of all 24 atoms:
1 Ga 0.0623 0.0000 0.1845  1 Zn 2.84, 3 Cd 2.84-2.86
2 Ga 0.3129 0.5000 0.4425  3 Zn 2.83-2.84, 1 Cd 2.94
3 Ga 0.5633 0.5000 0.1878  4 Cd 2.82-2.88
4 Ga 0.5544 0.0000 0.6848  2 Zn 2.71-2.78, 2 Cd 2.86
5 Ga 0.0651 0.5000 0.6853  3 Zn 2.71-2.81, 1 Cd 2.88
6 Ga 0.8154 0.0000 0.4432  3 Zn 2.84-2.87, 1 Cd 2.92
7 Ga 0.8183 0.5000 0.9369  2 Zn 2.81, 2 Cd 2.85-2.88, 1 Y 3.14
8 Ga 0.3061 0.0000 0.9325  2 Zn 2.79-2.82, 2 Cd 2.86
9 Cd 0.2503 0.5000 0.2482  4 Ga 2.82-2.94, 4 Y 2.90
10 Cd 0.4983 0.5000 0.9974  4 Ga 2.86-2.88, 4 Y 2.90-2.91
11 Cd 0.7505 0.0000 0.2506  4 Ga 2.84-2.92, 4 Y 2.88-2.89
12 Cd 0.7481 0.5000 0.7487  4 Ga 2.85-2.88, 4 Y 2.90
13 Y 0.1871 0.0000 0.5625  4 Zn 2.78-2.80
14 Y 0.9424 0.5000 0.3226  1 Zn 2.78, 3 Cd 2.89-2.90
15 Y 0.9501 0.0000 0.8139  2 Zn 2.77-2.78, 2 Cd 2.90
16 Y 0.4217 0.5000 0.8055  2 Zn 2.77, 2 Cd 2.90-2.91
17 Y 0.6844 0.5000 0.5573  3 Zn 2.79-2.80, 1 Cd 2.90
18 Y 0.7003 0.0000 0.0605  1 Zn 2.76, 3 Cd 2.88-2.90
19 Y 0.1751 0.5000 0.0570  2 Zn 2.77, 2 Cd 2.90
20 Y 0.4408 0.0000 0.3227  1 Zn 2.77, 3 Cd 2.89-2.90
21 Zn 0.2484 0.0000 0.7461  4 Y 2.77-2.78, 4 Ga 2.78-2.82
22 Zn 0.0024 0.0000 0.9972  4 Y 2.76-2.78, 4 Ga 2.79-2.84
23 Zn 0.4994 0.0000 0.5060  4 Ga 2.71-2.87, 4 Y 2.77-2.79
24 Zn 0.0029 0.5000 0.5064  4 Ga 2.71-2.84, 4 Y 2.78-2.80

Calculated values
* SG: Pm
* density: 5.8 Mg/m³
* M_tot: 0.00 μB per formula unit
* electronic total energy: -3.859 eV per atom